Entry 1:
TcRuPb3 | PBE | relaxed

POSCAR file:
```
TcRuPb3
1.0
-1.537 -3.764 3.294
3.851 -3.090 -1.733
3.192 1.915 3.677
Pb Ru Tc
3 1 1
Cartesian
1.925 -1.545 -0.867 Pb
1.596 0.958 1.839 Pb
-0.769 -1.882 1.647 Pb
0.000 0.000 0.000 Ru
2.753 -2.469 2.619 Tc
```

Summary:
SG: Pm-3m
V: 28.66 A^3/atom
E_form: 1.10 eV per atom
relative energy among the computed polymorphs: 0 meV per atom
mass density: 9.511 Mg/m³
D(E_F): 0.804 states/eV/atom
VASP energy: -5.06 eV/atom

***

Entry 2:
TcRuPb2 | PBE | relaxed

POSCAR file:
```
TcRuPb2
1.0
-2.342 0.905 -4.159
1.171 -2.449 -4.029
-3.074 -3.291 -1.822
Pb Ru Tc
2 1 1
Cartesian
0.000 0.000 0.000 Pb
-3.184 -3.626 -7.508 Pb
-2.123 -2.418 -5.005 Ru
-1.061 -1.209 -2.503 Tc
```

Summary:
SG: F-43m
V: 20.27 A^3/atom
E_form: 0.87 eV per atom
relative energy among the computed polymorphs: 569 meV per atom
mass density: 12.564 Mg/m³
D(E_F): 0.995 states/eV/atom
VASP energy: -5.90 eV/atom

***

Entry 3:
TcRuPb2 | PBE | relaxed

POSCAR file:
```
TcRuPb2
1.0
-1.588 -3.158 2.357
3.372 -0.037 2.222
-0.332 3.333 4.243
Pb Ru Tc
2 1 1
Cartesian
2.972 3.057 6.098 Pb
0.036 -0.519 3.158 Pb
2.137 1.668 3.674 Ru
0.869 0.876 5.588 Tc
```

Summary:
SG: Pm
V: 21.50 A^3/atom
E_form: 0.51 eV per atom
relative energy among the computed polymorphs: 212 meV per atom
mass density: 11.846 Mg/m³
D(E_F): 0.964 states/eV/atom
VASP energy: -6.25 eV/atom

***

Entry 4:
Tc2RuPb | PBE | relaxed

POSCAR file:
```
Tc2RuPb
1.0
2.935 0.014 0.000
-0.012 2.935 0.000
0.000 0.000 7.739
Pb Ru Tc
1 1 2
Cartesian
1.461 1.474 1.935 Pb
1.461 1.474 5.804 Ru
0.000 0.000 7.522 Tc
0.000 0.000 4.087 Tc
```

Summary:
SG: P4/mmm
V: 16.66 A^3/atom
E_form: 0.56 eV per atom
mass density: 12.563 Mg/m³
D(E_F): 1.474 states/eV/atom
VASP energy: -7.87 eV/atom

***

Entry 5:
TcRuPb2 | PBE | relaxed

POSCAR file:
```
TcRuPb2
1.0
-1.815 -2.575 -8.101
1.414 -3.043 -8.018
-0.597 -5.328 -6.841
Pb Ru Tc
2 1 1
Cartesian
-0.997 -10.931 -22.929 Pb
-0.500 -5.487 -11.509 Pb
-0.249 -2.736 -5.740 Ru
-0.748 -8.209 -17.219 Tc
```

Summary:
SG: R-3m
V: 19.56 A^3/atom
E_form: 0.72 eV per atom
relative energy among the computed polymorphs: 423 meV per atom
mass density: 13.019 Mg/m³
D(E_F): 1.457 states/eV/atom
VASP energy: -6.04 eV/atom

***

Entry 6:
Tc2RuPb | PBE | relaxed

POSCAR file:
```
Tc2RuPb
1.0
-1.262 -7.868 -4.782
1.162 -8.601 -3.323
-1.457 -8.942 -2.070
Pb Ru Tc
1 1 2
Cartesian
-1.168 -19.058 -7.632 Pb
-0.389 -6.353 -2.544 Ru
-1.545 -25.208 -10.094 Tc
-0.791 -12.908 -5.169 Tc
```

Summary:
SG: R-3m
V: 16.91 A^3/atom
E_form: 0.61 eV per atom
mass density: 12.383 Mg/m³
D(E_F): 1.032 states/eV/atom
VASP energy: -7.82 eV/atom

***

Entry 7:
TcRuPb2 | PBE | relaxed

POSCAR file:
```
TcRuPb2
1.0
-2.007 0.868 -4.194
3.531 -2.287 -2.163
-1.718 -2.868 0.228
Pb Ru Tc
2 1 1
Cartesian
0.000 0.000 0.000 Pb
0.762 -0.709 -3.178 Pb
-1.862 -1.000 -1.983 Ru
0.906 -2.578 -0.967 Tc
```

Summary:
SG: P4/mmm
V: 18.74 A^3/atom
E_form: 0.60 eV per atom
relative energy among the computed polymorphs: 303 meV per atom
mass density: 13.587 Mg/m³
D(E_F): 1.159 states/eV/atom
VASP energy: -6.16 eV/atom

***

Entry 8:
TcRuPb2 | PBE | relaxed

POSCAR file:
```
TcRuPb2
1.0
-3.580 -0.374 4.448
-0.561 -4.906 2.892
4.156 3.430 -1.925
Pb Ru Tc
2 1 1
Cartesian
0.000 0.000 0.000 Pb
0.762 -2.058 2.318 Pb
-2.071 -2.640 3.670 Ru
-0.747 0.208 3.096 Tc
```

Summary:
SG: I-4m2
V: 19.93 A^3/atom
E_form: 0.81 eV per atom
relative energy among the computed polymorphs: 514 meV per atom
mass density: 12.778 Mg/m³
D(E_F): 1.179 states/eV/atom
VASP energy: -5.95 eV/atom